[1]
The following is a PBE-GGA calculation of Rb3RuO6 after structural relaxation, from Alexandria.

```
data_Rb3RuO6
_chemical_formula_sum 'Rb6 Ru2 O12'
_symmetry_space_group_name_H-M 'P 1 21/c 1'
_symmetry_Int_Tables_number 14
_cell_length_a 6.4290
_cell_length_b 6.6298
_cell_length_c 11.2050
_cell_angle_alpha 90.00
_cell_angle_beta 124.91
_cell_angle_gamma 90.00
loop_
_symmetry_equiv_pos_as_xyz
'x,y,z'
'-x,-y,-z'
'-x,y+1/2,-z+1/2'
'x,-y+1/2,z+1/2'
loop_
_atom_site_label
_atom_site_type_symbol
_atom_site_fract_x
_atom_site_fract_y
_atom_site_fract_z
Rb1 Rb 0.0000 0.0000 0.0000
Rb2 Rb 0.2557 0.0388 0.7469
Ru1 Ru 0.5000 0.0000 0.5000
O1 O 0.2367 0.0295 0.3027
O2 O 0.2913 0.6614 0.0262
O3 O 0.3849 0.2311 0.5441
```

The calculation puts the energy above the most stable polymorph in this dataset at 0.0000 eV/atom. The value obtained for the final energy is -103.04 eV for the cell shown. Its total magnetization is 0.106 μB/atom. As for the energy relative to the elements, uncorrected: -0.959 eV per atom.

***

[2]
The following is a PBE-GGA calculation of RbRu2O8 after structural relaxation, from Alexandria.

```
data_RbRu2O8
_chemical_formula_sum 'Rb2 Ru4 O16'
_symmetry_space_group_name_H-M 'C 1 2/m 1'
_symmetry_Int_Tables_number 12
_cell_length_a 11.7292
_cell_length_b 5.7384
_cell_length_c 7.2938
_cell_angle_alpha 90.00
_cell_angle_beta 113.97
_cell_angle_gamma 90.00
loop_
_symmetry_equiv_pos_as_xyz
'x,y,z'
'-x,-y,-z'
'-x,y,-z'
'x,-y,z'
'x+1/2,y+1/2,z'
'-x+1/2,-y+1/2,-z'
'-x+1/2,y+1/2,-z'
'x+1/2,-y+1/2,z'
loop_
_atom_site_label
_atom_site_type_symbol
_atom_site_fract_x
_atom_site_fract_y
_atom_site_fract_z
Rb1 Rb 0.0000 0.0000 0.0000
Ru1 Ru 0.2092 0.0000 0.6986
O1 O 0.1290 0.5000 0.1904
O2 O 0.1530 0.2429 0.7757
O3 O 0.1571 0.0000 0.4390
```

The calculation puts the energy above the most stable polymorph in this dataset at 0.0000 eV/atom. The value obtained for the final energy is -137.94 eV for the cell shown. Its total magnetization is 0.100 μB/atom. As for the energy relative to the elements, uncorrected: -0.890 eV per atom.

***

[3]
The following is a PBE-GGA calculation of Rb8Ru3O8 after structural relaxation, from Alexandria.

```
data_Rb8Ru3O8
_chemical_formula_sum 'Rb16 Ru6 O16'
_symmetry_space_group_name_H-M 'C 1 2/m 1'
_symmetry_Int_Tables_number 12
_cell_length_a 20.9651
_cell_length_b 5.8306
_cell_length_c 8.3611
_cell_angle_alpha 90.00
_cell_angle_beta 108.16
_cell_angle_gamma 90.00
loop_
_symmetry_equiv_pos_as_xyz
'x,y,z'
'-x,-y,-z'
'-x,y,-z'
'x,-y,z'
'x+1/2,y+1/2,z'
'-x+1/2,-y+1/2,-z'
'-x+1/2,y+1/2,-z'
'x+1/2,-y+1/2,z'
loop_
_atom_site_label
_atom_site_type_symbol
_atom_site_fract_x
_atom_site_fract_y
_atom_site_fract_z
Rb1 Rb 0.0214 0.0000 0.2494
Rb2 Rb 0.1096 0.5000 0.9462
Rb3 Rb 0.1640 0.5000 0.4526
Rb4 Rb 0.1960 0.0000 0.7827
Ru1 Ru 0.0000 0.5000 0.5000
Ru2 Ru 0.1871 0.0000 0.2039
O1 O 0.0193 0.5000 0.3050
O2 O 0.1108 0.0000 0.0132
O3 O 0.1721 0.0000 0.4065
O4 O 0.2319 0.5000 0.8337
```

The value obtained for the final energy is -191.68 eV for the cell shown. Its total magnetization is 0.154 μB/atom. As for the energy relative to the elements, uncorrected: -1.084 eV per atom.

***

[4]
The following is a PBE-GGA calculation of Rb2RuO after structural relaxation, from Alexandria.

```
data_Rb2RuO
_chemical_formula_sum 'Rb8 Ru4 O4'
_symmetry_space_group_name_H-M 'I -4 2 d'
_symmetry_Int_Tables_number 122
_symmetry_space_group_name_Hall 'I -4 2bw'
_cell_length_a 11.9441
_cell_length_b 11.9441
_cell_length_c 3.8216
_cell_angle_alpha 90.00
_cell_angle_beta 90.00
_cell_angle_gamma 90.00
loop_
_atom_site_label
_atom_site_type_symbol
_atom_site_fract_x
_atom_site_fract_y
_atom_site_fract_z
Rb1 Rb 0.0403 0.2500 0.1250
Ru1 Ru 0.0000 0.0000 0.5000
O1 O 0.0000 0.0000 0.0000
```

The value obtained for the final energy is -68.99 eV for the cell shown. Its total magnetization is 0.000 μB/atom. As for the energy relative to the elements, uncorrected: -0.269 eV per atom.

***

[5]
The following is a PBE-GGA calculation of Rb4RuO4 after structural relaxation, from Alexandria.

```
data_Rb4RuO4
_chemical_formula_sum 'Rb8 Ru2 O8'
_symmetry_space_group_name_H-M 'I -4 2 m'
_symmetry_Int_Tables_number 121
_symmetry_space_group_name_Hall 'I -4 2'
_cell_length_a 6.7916
_cell_length_b 6.7916
_cell_length_c 12.0530
_cell_angle_alpha 90.00
_cell_angle_beta 90.00
_cell_angle_gamma 90.00
loop_
_atom_site_label
_atom_site_type_symbol
_atom_site_fract_x
_atom_site_fract_y
_atom_site_fract_z
Rb1 Rb 0.0000 0.0000 0.2147
Rb2 Rb 0.0000 0.5000 0.0000
Ru1 Ru 0.0000 0.0000 0.5000
O1 O 0.1560 0.1560 0.5964
```

The calculation puts the energy above the most stable polymorph in this dataset at 0.1109 eV/atom. The value obtained for the final energy is -85.16 eV for the cell shown. Its total magnetization is 0.045 μB/atom. As for the energy relative to the elements, uncorrected: -1.067 eV per atom.

***

[6]
The following is a PBE-GGA calculation of Rb5RuO4 after structural relaxation, from Alexandria.

```
data_Rb5RuO4
_chemical_formula_sum 'Rb10 Ru2 O8'
_symmetry_space_group_name_H-M 'P m m n'
_symmetry_Int_Tables_number 59
_cell_length_a 9.1432
_cell_length_b 9.1545
_cell_length_c 8.1854
_cell_angle_alpha 90.00
_cell_angle_beta 90.00
_cell_angle_gamma 90.00
loop_
_symmetry_equiv_pos_as_xyz
'x,y,z'
'-x,-y,-z'
'-x+1/2,-y+1/2,z'
'x+1/2,y+1/2,-z'
'x+1/2,-y,-z'
'-x+1/2,y,z'
'-x,y+1/2,-z'
'x,-y+1/2,z'
loop_
_atom_site_label
_atom_site_type_symbol
_atom_site_fract_x
_atom_site_fract_y
_atom_site_fract_z
Rb1 Rb 0.0185 0.0186 0.2041
Rb2 Rb 0.2500 0.2500 0.8931
Ru1 Ru 0.2500 0.7500 0.9999
O1 O 0.0382 0.7500 0.0126
O2 O 0.2500 0.5385 0.9871
```

The value obtained for the final energy is -88.73 eV for the cell shown. Its total magnetization is 0.281 μB/atom. As for the energy relative to the elements, uncorrected: -1.042 eV per atom.

***

[7]
The following is a PBE-GGA calculation of Rb2RuO6 after structural relaxation, from Alexandria.

```
data_Rb2RuO6
_chemical_formula_sum 'Rb2 Ru1 O6'
_symmetry_space_group_name_H-M 'P -3 1 m'
_symmetry_Int_Tables_number 162
_symmetry_space_group_name_Hall '-P 3 2'
_cell_length_a 6.7950
_cell_length_b 6.7950
_cell_length_c 4.0497
_cell_angle_alpha 90.00
_cell_angle_beta 90.00
_cell_angle_gamma 120.00
loop_
_atom_site_label
_atom_site_type_symbol
_atom_site_fract_x
_atom_site_fract_y
_atom_site_fract_z
Rb1 Rb 0.3333 0.6667 0.0000
Ru1 Ru 0.0000 0.0000 0.5000
O1 O 0.0000 0.2260 0.7687
```

The value obtained for the final energy is -46.41 eV for the cell shown. Its total magnetization is 0.224 μB/atom. As for the energy relative to the elements, uncorrected: -0.605 eV per atom.

***

[8]
The following is a PBE-GGA calculation of Rb4RuO5 after structural relaxation, from Alexandria.

```
data_Rb4RuO5
_chemical_formula_sum 'Rb8 Ru2 O10'
_symmetry_space_group_name_H-M 'I 4'
_symmetry_Int_Tables_number 79
_cell_length_a 8.5463
_cell_length_b 8.5463
_cell_length_c 5.7748
_cell_angle_alpha 90.00
_cell_angle_beta 90.00
_cell_angle_gamma 90.00
loop_
_symmetry_equiv_pos_as_xyz
'x,y,z'
'-y,x,z'
'-x,-y,z'
'y,-x,z'
'x+1/2,y+1/2,z+1/2'
'-y+1/2,x+1/2,z+1/2'
'-x+1/2,-y+1/2,z+1/2'
'y+1/2,-x+1/2,z+1/2'
loop_
_atom_site_label
_atom_site_type_symbol
_atom_site_fract_x
_atom_site_fract_y
_atom_site_fract_z
Rb1 Rb 0.1087 0.2955 0.0000
Ru1 Ru 0.0000 0.0000 0.4465
O1 O 0.0000 0.0000 0.1318
O2 O 0.0669 0.2112 0.5139
```

The value obtained for the final energy is -100.37 eV for the cell shown. Its total magnetization is 0.200 μB/atom. As for the energy relative to the elements, uncorrected: -1.225 eV per atom.